A plane-wave DFT calculation with GGA-PBEsol was carried out for a relaxed structure of MgPb3.

Energy of formation from the pure elements: -24 meV per atom
Size of the total moment: 0.00 μB per cell
Space-group type: Pmmm, No. 47

abc: 3.5024 4.4492 7.1573
angles: 90.00 90.00 90.00
With the nearest neighbours (Å) after each atom.
Sites, in units of the cell vectors:
Mg (0.0000, 0.0000, 0.0000)  10 Pb 3.28-3.58, 2 Mg 3.50
Pb (0.0000, 0.0000, 0.5000)  10 Pb 3.42-3.50, 2 Mg 3.58
Pb (0.5000, 0.5000, 0.2321)  4 Mg 3.28, 7 Pb 3.32-3.50
Pb (0.5000, 0.5000, 0.7679)  4 Mg 3.28, 7 Pb 3.32-3.50

A plane-wave DFT calculation with GGA-PBEsol was carried out for a relaxed structure of InCu2Te.

Distance to the lowest polymorph of the same formula: 181 meV/atom
Size of the total moment: 0.00 μB per cell
Raw formation energy: 250.0 meV per atom
Space-group type: C2/m, No. 12

abc: 6.1713 6.4457 3.9485
angles: 90.00 104.70 90.00
With the nearest neighbours (Å) after each atom.
Sites, in units of the cell vectors:
In (0.0000, 0.0000, 0.0000)  4 Cu 2.71
In (0.5000, 0.5000, 0.0000)  4 Cu 2.71
Cu (0.2500, 0.2500, 0.5000)  2 In 2.71, 2 Te 2.71
Cu (0.2500, 0.7500, 0.5000)  2 In 2.71, 2 Te 2.71
Cu (0.7500, 0.2500, 0.5000)  2 In 2.71, 2 Te 2.71
Cu (0.7500, 0.7500, 0.5000)  2 In 2.71, 2 Te 2.71
Te (0.0000, 0.5000, 0.0000)  4 Cu 2.71
Te (0.5000, 0.0000, 0.0000)  4 Cu 2.71

A plane-wave DFT calculation with GGA-PBEsol was carried out for a relaxed structure of GaReOF2.

Size of the total moment: 4.97 μB per cell
Raw formation energy: -310.0 meV per atom
Space-group type: P4/mmm, No. 123

abc: 4.2755 4.2755 3.5277
angles: 90.00 90.00 90.00
With the nearest neighbours (Å) after each atom.
Sites, in units of the cell vectors:
Ga (0.0000, 0.0000, 0.0000)  2 O 1.76
Re (0.5000, 0.5000, 0.5000)  8 F 2.77, 4 O 3.02
O (0.0000, 0.0000, 0.5000)  2 Ga 1.76
F (0.0000, 0.5000, 0.0000)  2 Ga 2.14
F (0.5000, 0.0000, 0.0000)  2 Ga 2.14

A plane-wave DFT calculation with GGA-PBEsol was carried out for a relaxed structure of RbTa3Zn.

Energy of formation from the pure elements: 2028 meV per atom
Size of the total moment: 0.76 μB per cell
Space-group type: Pm-3m, No. 221

abc: 4.8797 4.8797 4.8797
angles: 90.00 90.00 90.00
With the nearest neighbours (Å) after each atom.
Sites, in units of the cell vectors:
Rb (0.0000, 0.0000, 0.0000)  12 Ta 3.45
Ta (0.0000, 0.5000, 0.5000)  2 Zn 2.44
Ta (0.5000, 0.0000, 0.5000)  2 Zn 2.44
Ta (0.5000, 0.5000, 0.0000)  2 Zn 2.44
Zn (0.5000, 0.5000, 0.5000)  6 Ta 2.44

A plane-wave DFT calculation with GGA-PBEsol was carried out for a relaxed structure of Al5Se8.

Size of the total moment: 0.00 μB per cell
Raw formation energy: -758.5 meV per atom
Space-group type: F-43m, No. 216

abc: 7.3369 7.3369 7.3369
angles: 60.00 60.00 60.00
With the nearest neighbours (Å) after each atom.
Sites, in units of the cell vectors:
Al (0.0000, 0.0000, 0.0000)  4 Se 2.41
Al (0.1556, 0.6148, 0.6148)  6 Se 2.49-2.62
Al (0.6148, 0.1556, 0.6148)  6 Se 2.49-2.62
Al (0.6148, 0.6148, 0.1556)  6 Se 2.49-2.62
Al (0.6148, 0.6148, 0.6148)  6 Se 2.49-2.62
Se (0.3749, 0.3749, 0.3749)  3 Al 2.49
Se (0.3749, 0.3749, 0.8753)  3 Al 2.49
Se (0.3749, 0.8753, 0.3749)  3 Al 2.49
Se (0.4030, 0.8657, 0.8657)  4 Al 2.41-2.62
Se (0.8657, 0.4030, 0.8657)  4 Al 2.41-2.62
Se (0.8657, 0.8657, 0.4030)  4 Al 2.41-2.62
Se (0.8657, 0.8657, 0.8657)  4 Al 2.41-2.62
Se (0.8753, 0.3749, 0.3749)  3 Al 2.49

A plane-wave DFT calculation with GGA-PBEsol was carried out for a relaxed structure of La2Ga10Ni.

Energy of formation from the pure elements: -531 meV per atom
Size of the total moment: 0.00 μB per cell
Space-group type: I4/mmm, No. 139

abc: 13.3045 13.3045 13.3045
angles: 161.36 161.36 26.48
With the nearest neighbours (Å) after each atom.
Sites, in units of the cell vectors:
La (0.1438, 0.1438, 0.0000)  16 Ga 3.22-3.49
La (0.8562, 0.8562, 0.0000)  16 Ga 3.22-3.49
Ga (0.0486, 0.5486, 0.5000)  2 Ni 2.49, 3 Ga 2.52-2.58
Ga (0.2500, 0.7500, 0.5000)  4 Ga 2.56
Ga (0.3036, 0.3036, 0.0000)  5 Ga 2.42-2.56
Ga (0.3969, 0.3969, 0.0000)  5 Ga 2.42-2.58
Ga (0.4514, 0.9514, 0.5000)  2 Ni 2.49, 3 Ga 2.52-2.58
Ga (0.5486, 0.0486, 0.5000)  2 Ni 2.49, 3 Ga 2.52-2.58
Ga (0.6031, 0.6031, 0.0000)  5 Ga 2.42-2.58
Ga (0.6964, 0.6964, 0.0000)  5 Ga 2.42-2.56
Ga (0.7500, 0.2500, 0.5000)  4 Ga 2.56
Ga (0.9514, 0.4514, 0.5000)  2 Ni 2.49, 3 Ga 2.52-2.58
Ni (0.0000, 0.0000, 0.0000)  8 Ga 2.49

How do the records compare in calculated volume? In the order shown, they have 27.88; 18.99; 12.90; 23.24; 21.48; 18.50 Å³ per atom.